Entry 1:
An optimized crystal structure of K2BaCa, computed with GGA-PBE.

The energy of formation from the pure elements is 0.1929 eV per atom. The calculation puts the spin magnetization at 0.000 μB/cell. The value obtained for the relative energy among the computed polymorphs is 0.107 eV per atom.

The space group is P4/mmm (No. 123) and the conventional cell measures 4.8723, 4.8723 and 10.2593 Å, with angles of 90.00, 90.00 and 90.00 degrees. The asymmetric unit holds K at (0.0000, 0.0000, 0.2267), Ba at (0.5000, 0.5000, 0.5000) and Ca at (0.5000, 0.5000, 0.0000).


Entry 2:
An optimized crystal structure of AlTlN2O, computed with GGA-PBE.

The calculation puts the spin magnetization at 1.211 μB/cell. The calculation puts the raw formation energy at 1.672 eV per atom.

The space group is P4/mmm (No. 123) and the conventional cell measures 4.2683, 4.2683 and 4.1755 Å, with angles of 90.00, 90.00 and 90.00 degrees. The asymmetric unit holds Al at (0.0000, 0.0000, 0.0000), Tl at (0.5000, 0.5000, 0.5000), N at (0.0000, 0.5000, 0.5000) and O at (0.5000, 0.5000, 0.0000).


Entry 3:
An optimized crystal structure of Ti2TeAs, computed with GGA-PBE.

The calculation puts the spin magnetization at 0.000 μB/cell. The value obtained for the relative energy among the computed polymorphs is 0.015 eV per atom. The calculation puts the raw formation energy at -0.715 eV per atom.

The space group is R-3m (No. 166, hexagonal axes) and the conventional cell measures 3.8269, 3.8269 and 18.9835 Å, with angles of 90.00, 90.00 and 120.00 degrees. The asymmetric unit holds Ti at (0.0000, 0.0000, 0.2307), Te at (0.0000, 0.0000, 0.0000) and As at (0.0000, 0.0000, 0.5000).


Entry 4:
An optimized crystal structure of LaReAs, computed with GGA-PBE.

The energy of formation from the pure elements is -0.2437 eV per atom. The calculation puts the spin magnetization at 0.012 μB/cell. The value obtained for the relative energy among the computed polymorphs is 0.000 eV per atom.

The space group is P-6m2 (No. 187) and the conventional cell measures 4.2854, 4.2854 and 4.3198 Å, with angles of 90.00, 90.00 and 120.00 degrees. The asymmetric unit holds La at (0.0000, 0.0000, 0.0000), Re at (0.6667, 0.3333, 0.5000) and As at (0.3333, 0.6667, 0.5000).


Entry 5:
An optimized crystal structure of Sr2Mg17, computed with GGA-PBE.

The energy of formation from the pure elements is -0.0544 eV per atom. The calculation puts the spin magnetization at 0.000 μB/cell. The value obtained for the relative energy among the computed polymorphs is 0.000 eV per atom.

The space group is R-3m (No. 166, hexagonal axes) and the conventional cell measures 10.5319, 10.5319 and 15.3983 Å, with angles of 90.00, 90.00 and 120.00 degrees. The asymmetric unit holds Sr at (0.0000, 0.0000, 0.1625), Mg at (0.0000, 0.0000, 0.4006), Mg at (0.0000, 0.2968, 0.5000), Mg at (0.0000, 0.5000, 0.0000) and Mg at (0.0026, 0.5013, 0.6526).


Entry 6:
An optimized crystal structure of K2ZrMo, computed with GGA-PBE.

The energy of formation from the pure elements is 1.1916 eV per atom. The calculation puts the spin magnetization at 0.021 μB/cell. The value obtained for the relative energy among the computed polymorphs is 0.493 eV per atom.

The space group is C2/m (No. 12) and the conventional cell measures 5.5898, 13.3043 and 3.2588 Å, with angles of 90.00, 118.96 and 90.00 degrees. The asymmetric unit holds K at (0.2500, 0.2500, 0.0000), Zr at (0.0000, 0.0000, 0.5000) and Mo at (0.0000, 0.5000, 0.5000).


Question: Which of these has the highest spin magnetization?
Answer: AlTlN2O


Question: Number 1 is which compound?
Answer: K2BaCa